## one
# Sm2Dy3Ho5

A relaxed Sm2Dy3Ho5 crystal (PBE, the Alexandria database).

The structure in POSCAR format:
```
Sm2Dy3Ho5
1.0
-1.198 -6.649 -0.206
10.625 -5.440 2.891
4.931 -4.642 10.245
Sm Dy Ho
4 6 10
direct
0.126 0.775 0.974 Sm
0.874 0.225 0.026 Sm
0.626 0.974 0.775 Sm
0.374 0.026 0.225 Sm
0.250 0.000 0.000 Dy
0.750 0.000 0.000 Dy
0.374 0.377 0.875 Dy
0.626 0.623 0.125 Dy
0.874 0.875 0.377 Dy
0.126 0.125 0.623 Dy
0.250 0.500 0.500 Ho
0.750 0.500 0.500 Ho
0.501 0.749 0.749 Ho
0.999 0.251 0.251 Ho
0.499 0.251 0.251 Ho
0.001 0.749 0.749 Ho
0.125 0.465 0.286 Ho
0.875 0.535 0.714 Ho
0.625 0.286 0.465 Ho
0.375 0.714 0.535 Ho
```

Values from the calculation:
* density of states at the Fermi level: 1.589 states/eV/atom

=====

## two
# Sm2Dy3Ho5

A relaxed Sm2Dy3Ho5 crystal (PBE, the Alexandria database).

The structure in POSCAR format:
```
Sm2Dy3Ho5
1.0
-2.342 -8.374 3.540
6.450 -3.073 6.142
-5.954 9.302 1.045
Sm Dy Ho
4 6 10
direct
0.778 0.013 0.745 Sm
0.222 0.987 0.255 Sm
0.467 0.731 0.745 Sm
0.533 0.269 0.255 Sm
0.229 0.979 0.957 Dy
0.771 0.021 0.043 Dy
0.730 0.464 0.244 Dy
0.270 0.536 0.756 Dy
0.013 0.779 0.244 Dy
0.987 0.221 0.756 Dy
0.277 0.527 0.054 Ho
0.723 0.473 0.946 Ho
0.019 0.769 0.538 Ho
0.525 0.275 0.550 Ho
0.981 0.231 0.462 Ho
0.475 0.725 0.450 Ho
0.864 0.610 0.757 Ho
0.136 0.390 0.243 Ho
0.393 0.147 0.757 Ho
0.607 0.853 0.243 Ho
```

Values from the calculation:
* density of states at the Fermi level: 1.908 states/eV/atom

=====

Most favorable first, least favorable last: two, one

=====

## one
# Sm4DyHo5

A relaxed Sm4DyHo5 crystal (PBE, the Alexandria database).

The structure in POSCAR format:
```
Sm4DyHo5
1.0
3.453 0.000 -0.701
-0.118 11.088 -0.581
-0.021 0.452 8.738
Sm Dy Ho
4 1 5
direct
0.655 0.250 0.310 Sm
0.970 0.250 0.940 Sm
0.345 0.750 0.690 Sm
0.030 0.750 0.060 Sm
0.500 0.000 0.000 Dy
0.173 0.551 0.347 Ho
0.174 0.948 0.348 Ho
0.826 0.052 0.652 Ho
0.500 0.500 0.000 Ho
0.827 0.449 0.653 Ho
```

Values from the calculation:
* density of states at the Fermi level: 1.327 states/eV/atom

=====

## two
# Sm4DyHo5

A relaxed Sm4DyHo5 crystal (PBE, the Alexandria database).

The structure in POSCAR format:
```
Sm4DyHo5
1.0
-1.257 5.713 -0.914
-3.217 3.412 6.570
6.239 4.748 1.923
Sm Dy Ho
4 1 5
direct
0.452 0.324 0.677 Sm
0.775 0.677 0.676 Sm
0.129 0.323 0.324 Sm
0.452 0.676 0.323 Sm
0.213 0.000 0.000 Dy
0.761 0.378 0.000 Ho
0.139 0.000 0.622 Ho
0.761 0.000 0.378 Ho
0.139 0.622 0.000 Ho
0.688 0.000 0.000 Ho
```

Values from the calculation:
* density of states at the Fermi level: 1.316 states/eV/atom

=====

Most favorable first, least favorable last: one, two

=====

## one
# Sm5DyHo3

A relaxed Sm5DyHo3 crystal (PBE, the Alexandria database).

The structure in POSCAR format:
```
Sm5DyHo3
1.0
3.360 11.443 1.982
-3.360 11.443 1.982
0.000 7.209 8.992
Sm Dy Ho
10 2 6
direct
0.313 0.687 0.750 Sm
0.081 0.262 0.004 Sm
0.392 0.387 0.170 Sm
0.919 0.738 0.996 Sm
0.613 0.608 0.330 Sm
0.687 0.313 0.250 Sm
0.262 0.081 0.504 Sm
0.738 0.919 0.496 Sm
0.387 0.392 0.670 Sm
0.608 0.613 0.830 Sm
0.762 0.238 0.750 Dy
0.238 0.762 0.250 Dy
0.000 0.000 0.000 Ho
0.838 0.640 0.394 Ho
0.000 0.000 0.500 Ho
0.162 0.360 0.606 Ho
0.640 0.838 0.894 Ho
0.360 0.162 0.106 Ho
```

Values from the calculation:
* density of states at the Fermi level: 1.426 states/eV/atom

=====

## two
# Sm5DyHo3

A relaxed Sm5DyHo3 crystal (PBE, the Alexandria database).

The structure in POSCAR format:
```
Sm5DyHo3
1.0
-1.448 -9.382 1.093
8.662 -3.693 1.624
3.260 -6.639 9.048
Sm Dy Ho
10 2 6
direct
0.848 0.344 0.258 Sm
0.255 0.745 0.000 Sm
0.821 0.821 0.954 Sm
0.491 0.491 0.236 Sm
0.509 0.509 0.764 Sm
0.179 0.179 0.046 Sm
0.344 0.848 0.258 Sm
0.745 0.255 0.000 Sm
0.152 0.656 0.742 Sm
0.656 0.152 0.742 Sm
0.155 0.155 0.593 Dy
0.845 0.845 0.407 Dy
0.685 0.685 0.824 Ho
0.662 0.662 0.354 Ho
0.000 0.000 0.000 Ho
0.000 0.000 0.500 Ho
0.315 0.315 0.176 Ho
0.338 0.338 0.646 Ho
```

Values from the calculation:
* density of states at the Fermi level: 1.481 states/eV/atom

=====

Most favorable first, least favorable last: one, two

=====

## one
# Sm5Dy4Ho3

A relaxed Sm5Dy4Ho3 crystal (PBE, the Alexandria database).

The structure in POSCAR format:
```
Sm5Dy4Ho3
1.0
-3.720 3.974 -4.625
2.460 -11.019 -0.401
-7.654 9.748 3.509
Sm Dy Ho
5 4 3
direct
0.335 0.666 0.832 Sm
0.500 0.000 0.500 Sm
0.750 0.499 0.000 Sm
0.250 0.501 0.000 Sm
0.665 0.334 0.168 Sm
0.916 0.832 0.666 Dy
0.835 0.669 0.834 Dy
0.165 0.331 0.166 Dy
0.084 0.168 0.334 Dy
0.585 0.168 0.333 Ho
0.000 0.000 0.500 Ho
0.415 0.832 0.667 Ho
```

Values from the calculation:
* density of states at the Fermi level: 1.263 states/eV/atom

=====

## two
# Sm5Dy4Ho3

A relaxed Sm5Dy4Ho3 crystal (PBE, the Alexandria database).

The structure in POSCAR format:
```
Sm5Dy4Ho3
1.0
5.896 0.000 0.000
2.948 7.623 -2.759
2.948 -0.876 9.147
Sm Dy Ho
5 4 3
direct
0.625 0.950 0.799 Sm
0.500 0.500 0.500 Sm
0.212 0.462 0.114 Sm
0.788 0.538 0.886 Sm
0.375 0.050 0.201 Sm
0.859 0.222 0.061 Dy
0.163 0.052 0.622 Dy
0.837 0.948 0.378 Dy
0.141 0.778 0.939 Dy
0.520 0.688 0.272 Ho
0.000 0.500 0.500 Ho
0.480 0.312 0.728 Ho
```

Values from the calculation:
* density of states at the Fermi level: 1.652 states/eV/atom

=====

Most favorable first, least favorable last: one, two

=====

## one
# Sm7DyHo12

A relaxed Sm7DyHo12 crystal (PBE, the Alexandria database).

The structure in POSCAR format:
```
Sm7DyHo12
1.0
9.179 0.000 -3.245
-4.590 7.949 -3.245
0.000 0.000 9.736
Sm Dy Ho
7 1 12
direct
0.500 0.500 0.000 Sm
0.000 0.500 0.500 Sm
0.500 0.000 0.500 Sm
0.500 0.500 0.500 Sm
0.000 0.000 0.500 Sm
0.500 0.000 0.000 Sm
0.000 0.500 0.000 Sm
0.000 0.000 0.000 Dy
0.504 0.752 0.752 Ho
0.000 0.752 0.248 Ho
0.496 0.248 0.248 Ho
0.000 0.248 0.752 Ho
0.752 0.000 0.248 Ho
0.752 0.504 0.752 Ho
0.248 0.000 0.752 Ho
0.248 0.496 0.248 Ho
0.752 0.752 0.504 Ho
0.248 0.248 0.496 Ho
0.752 0.248 0.000 Ho
0.248 0.752 0.000 Ho
```

Values from the calculation:
* density of states at the Fermi level: 1.294 states/eV/atom

=====

## two
# Sm7DyHo12

A relaxed Sm7DyHo12 crystal (PBE, the Alexandria database).

The structure in POSCAR format:
```
Sm7DyHo12
1.0
8.429 1.287 1.931
-1.108 8.454 1.931
-1.108 -1.474 8.546
Sm Dy Ho
7 1 12
direct
0.846 0.601 0.925 Sm
0.399 0.075 0.154 Sm
0.075 0.154 0.399 Sm
0.500 0.500 0.500 Sm
0.925 0.846 0.601 Sm
0.601 0.925 0.846 Sm
0.154 0.399 0.075 Sm
0.000 0.000 0.000 Dy
0.853 0.255 0.728 Ho
0.745 0.272 0.147 Ho
0.618 0.134 0.497 Ho
0.866 0.503 0.382 Ho
0.272 0.147 0.745 Ho
0.503 0.382 0.866 Ho
0.497 0.618 0.134 Ho
0.728 0.853 0.255 Ho
0.134 0.497 0.618 Ho
0.382 0.866 0.503 Ho
0.255 0.728 0.853 Ho
0.147 0.745 0.272 Ho
```

Values from the calculation:
* density of states at the Fermi level: 1.804 states/eV/atom

=====

Most favorable first, least favorable last: two, one

=====

## one
# Sm2Dy5Ho4

A relaxed Sm2Dy5Ho4 crystal (PBE, the Alexandria database).

The structure in POSCAR format:
```
Sm2Dy5Ho4
1.0
-1.912 -2.541 -1.431
7.278 -5.293 -0.325
-5.171 -0.153 11.433
Sm Dy Ho
2 5 4
direct
0.268 0.268 0.536 Sm
0.732 0.732 0.464 Sm
0.857 0.054 0.714 Dy
0.857 0.661 0.714 Dy
0.143 0.339 0.286 Dy
0.143 0.946 0.286 Dy
0.500 0.000 0.000 Dy
0.000 0.310 0.000 Ho
0.597 0.597 0.194 Ho
0.000 0.690 0.000 Ho
0.403 0.403 0.806 Ho
```

Values from the calculation:
* density of states at the Fermi level: 1.453 states/eV/atom

=====

## two
# Sm2Dy5Ho4

A relaxed Sm2Dy5Ho4 crystal (PBE, the Alexandria database).

The structure in POSCAR format:
```
Sm2Dy5Ho4
1.0
3.500 -0.304 -0.269
-1.107 8.612 -1.088
0.932 0.514 11.603
Sm Dy Ho
2 5 4
direct
0.636 0.273 0.814 Sm
0.364 0.727 0.186 Sm
0.040 0.081 0.282 Dy
0.960 0.919 0.718 Dy
0.408 0.815 0.457 Dy
0.500 0.000 0.000 Dy
0.592 0.185 0.543 Dy
0.732 0.463 0.353 Ho
0.179 0.357 0.073 Ho
0.268 0.537 0.647 Ho
0.821 0.643 0.927 Ho
```

Values from the calculation:
* density of states at the Fermi level: 1.632 states/eV/atom

=====

Most favorable first, least favorable last: two, one